DFT (GGA-PBE) results for Tb2PrSn3Pt3 after structural relaxation.

Electronic total energy = -5.986 eV/atom
Symmetry = Amm2
M_tot = 0.00 μB/atom

a = 4.089 Å, b = 7.582 Å, c = 7.582 Å
α = 120.17°, β = 90.00°, γ = 90.00°
Fractional coordinates of all 9 atoms:
Tb 0.000 0.204 0.796
Tb 0.000 0.796 0.204
Pr 0.000 0.613 0.613
Sn 0.500 0.202 0.458
Sn 0.500 0.458 0.202
Sn 0.500 0.948 0.948
Pt 0.000 0.199 0.199
Pt 0.500 0.534 0.876
Pt 0.500 0.876 0.534